Record 1
The following is a DFT calculation (PBE) of a geometry-optimized InAgRu2 structure.

Unit cell a=3.9912 b=3.9912 c=4.2019 alpha=90.00 beta=90.00 gamma=90.00
Closest atoms and distances in Å follow each position.
Space group P4/mmm (No. 123)
Symmetry-distinct sites (fractional):
In 0.0000 0.0000 0.0000 x1  4 Ag 2.82, 8 Ru 2.90
Ag 0.5000 0.5000 0.0000 x1  4 In 2.82, 8 Ru 2.90
Ru 0.0000 0.5000 0.5000 x2  4 Ru 2.82, 4 In 2.90, 4 Ag 2.90

Results
- energy (eV/atom) = -5.59
- ΔH_f (0 K) (eV per atom) = 0.442
- DOS(E_F) (states/eV per cell) = 3.8
- V (Å³/cell) = 66.93

Record 2
The following is a DFT calculation (PBE) of a geometry-optimized InAgRu2 structure.

Unit cell a=6.4084 b=6.4084 c=6.4084 alpha=90.00 beta=90.00 gamma=90.00
Closest atoms and distances in Å follow each position.
Space group F-43m (No. 216)
Symmetry-distinct sites (fractional):
In 0.0000 0.0000 0.0000 x4  4 Ru 2.77, 4 Ag 2.77
Ag 0.2500 0.2500 0.2500 x4  4 Ru 2.77, 4 In 2.77
Ru 0.0000 0.0000 0.5000 x4  4 Ru 2.77, 4 Ag 2.77
Ru 0.2500 0.2500 0.7500 x4  4 In 2.77, 4 Ru 2.77

Results
- energy (eV/atom) = -5.62
- ΔH_f (0 K) (eV per atom) = 0.411
- DOS(E_F) (states/eV per cell) = 18.3
- V (Å³/cell) = 263.18

Record 3
The following is a DFT calculation (PBE) of a geometry-optimized InAgRu2 structure.

Unit cell a=2.8901 b=2.8901 c=27.4163 alpha=90.00 beta=90.00 gamma=120.00
Closest atoms and distances in Å follow each position.
Space group R-3m (No. 166, hexagonal axes)
Symmetry-distinct sites (fractional):
In 0.0000 0.0000 0.0000 x3  6 Ru 2.79, 6 In 2.89
Ag 0.0000 0.0000 0.5000 x3  6 Ru 2.87, 6 Ag 2.89
Ru 0.0000 0.0000 0.2516 x6  3 In 2.79, 3 Ag 2.87, 6 Ru 2.89

Results
- energy (eV/atom) = -5.56
- ΔH_f (0 K) (eV per atom) = 0.475
- DOS(E_F) (states/eV per cell) = 12.9
- V (Å³/cell) = 198.32